Entry 1:
Entry from the Alexandria database: a relaxed structure of Al2Ga8Ag (PBE).

Formation energy: 0.08 eV per atom
Energy relative to the lowest polymorph listed for this composition: 0.08 eV/f.u.

The structure in POSCAR format:
```
Al2Ga8Ag
1.0
-3.7762 -1.6184 -2.5229
-1.5333 -5.3639 4.1047
-4.9403 2.4712 4.1782
Ga Ag Al
8 1 2
direct
0.2987 0.3870 0.3870 Ga
0.2199 0.7900 0.3548 Ga
0.2199 0.3548 0.7900 Ga
0.7801 0.6452 0.2100 Ga
0.7801 0.2100 0.6452 Ga
0.7013 0.6130 0.6130 Ga
0.8674 0.2546 0.2546 Ga
0.1326 0.7454 0.7454 Ga
0.0000 0.0000 0.0000 Ag
0.5641 0.8691 0.8691 Al
0.4359 0.1309 0.1309 Al
```

Entry 2:
Entry from the Alexandria database: a relaxed structure of TaMnSe (PBE).

Uncorrected formation energy: 0.48 eV/atom
Energy relative to the lowest polymorph listed for this composition: 2.21 eV/f.u.

The structure in POSCAR format:
```
TaMnSe
1.0
-0.2050 3.8654 1.8726
-3.3968 2.5451 -0.6885
-2.8291 0.7112 3.1592
Se Ta Mn
1 1 1
direct
0.5000 0.5000 0.5000 Se
0.7500 0.7500 0.7500 Ta
0.0000 0.0000 0.0000 Mn
```

Entry 3:
Entry from the Alexandria database: a relaxed structure of La2Pr6In (PBE).

Formation energy: -0.05 eV per atom
Energy relative to the lowest polymorph listed for this composition: 0.00 eV/f.u.

The structure in POSCAR format:
```
La2Pr6In
1.0
9.6244 -4.2188 5.1537
0.3802 6.4593 0.5167
2.0580 -4.2188 10.7217
Pr La In
12 4 2
direct
0.4158 0.4153 0.9162 Pr
0.9162 0.9153 0.4158 Pr
0.6479 0.4375 0.5044 Pr
0.0838 0.0847 0.5842 Pr
0.3521 0.5625 0.4956 Pr
0.0041 0.2150 0.1486 Pr
0.4956 0.0625 0.3521 Pr
0.1486 0.7150 0.0041 Pr
0.5842 0.5847 0.0838 Pr
0.8514 0.2850 0.9959 Pr
0.5044 0.9375 0.6479 Pr
0.9959 0.7850 0.8514 Pr
0.1698 0.5669 0.3305 La
0.3305 0.0669 0.1698 La
0.6695 0.9331 0.8302 La
0.8302 0.4331 0.6695 La
0.2497 0.2500 0.7503 In
0.7503 0.7500 0.2497 In
```

Entry 4:
Entry from the Alexandria database: a relaxed structure of NaSrAlGe2 (PBE).

Formation energy: 0.45 eV per atom

The structure in POSCAR format:
```
NaSrAlGe2
1.0
5.1559 0.0000 0.0000
0.0000 5.1547 0.0000
0.0000 0.0000 5.1559
Al Na Ge Sr
1 1 2 1
direct
0.0000 0.5000 0.0000 Al
0.0000 0.0000 0.0000 Na
0.0000 0.0000 0.5000 Ge
0.5000 0.0000 0.0000 Ge
0.5000 0.5000 0.5000 Sr
```

no.,calculated volume (Å³/f.u.),DFT total energy (eV per atom)
1,221.8,-3.062
2,56.2,-7.693
3,311.7,-4.639
4,137.0,-2.741